Entry a
Compound: CoAgAsO
Source: OQMD via LeMat-Bulk
Functional: PBE+U
Structure: optimized geometry

The volume is 128.5 Å³/cell.

It has space group Pmc2_1 (No. 26), with a = 3.157 Å, b = 6.510 Å, c = 6.253 Å, α = 90.00°, β = 90.00° and γ = 90.00°. The asymmetric unit holds Co at (0.000, 0.211, 0.000), Ag at (0.500, 0.243, 0.593), As at (0.000, 0.454, 0.304) and O at (0.500, 0.064, 0.935).

Entry b
Compound: CoAgAsO
Source: OQMD via LeMat-Bulk
Functional: PBE+U
Structure: optimized geometry

The volume is 139.2 Å³/cell.

It has space group Pmc2_1 (No. 26), with a = 3.702 Å, b = 6.985 Å, c = 5.383 Å, α = 90.00°, β = 90.00° and γ = 90.00°. The asymmetric unit holds Co at (0.000, 0.148, 0.000), Ag at (0.500, 0.280, 0.425), As at (0.500, 0.360, 0.904) and O at (0.000, 0.089, 0.343).

Which structure is most stable, and how do the rest compare? From most to least stable: entry a, entry b.